Density functional theory data (PBE) for TmPuBeGa after structural relaxation.

Results
ΔH_f (0 K) = -0.0790 eV per atom
Total magnetic moment = 1.404 μB per atom
Calculated volume = 333.5 Å³ per cell
Density = 9.8 g/cm3

Cell: 6.935 6.935 6.935 Å, 90.00 90.00 90.00°
Space group F-43m (No. 216)
Asymmetric unit:
Tm (0.000, 0.000, 0.000) (multiplicity 4)
Pu (0.000, 0.000, 0.500) (multiplicity 4)
Be (0.250, 0.250, 0.750) (multiplicity 4)
Ga (0.250, 0.250, 0.250) (multiplicity 4)

=====

Density functional theory data (PBE) for RbBe2Ga after structural relaxation.

Results
ΔH_f (0 K) = 0.5722 eV per atom
Total magnetic moment = 0.000 μB per atom
Calculated volume = 417.5 Å³ per cell
Density = 2.8 g/cm3

Cell: 5.514 5.514 13.731 Å, 90.00 90.00 90.00°
Space group I4_1/amd (No. 141, origin choice 2)
Asymmetric unit:
Rb (0.000, 0.250, 0.375) (multiplicity 4)
Be (0.000, 0.000, 0.000) (multiplicity 8)
Ga (0.000, 0.250, 0.875) (multiplicity 4)

=====

Density functional theory data (PBE) for RbBeGa3 after structural relaxation.

Results
ΔH_f (0 K) = 0.2814 eV per atom
Total magnetic moment = 0.000 μB per atom
Energy above the most stable polymorph in this dataset = 0.000 eV/atom
Calculated volume = 116.0 Å³ per cell
Density = 4.3 g/cm3

Cell: 4.876 4.876 4.876 Å, 90.00 90.00 90.00°
Space group Pm-3m (No. 221)
Asymmetric unit:
Rb (0.000, 0.000, 0.000) (multiplicity 1)
Be (0.500, 0.500, 0.500) (multiplicity 1)
Ga (0.000, 0.500, 0.500) (multiplicity 3)

=====

Density functional theory data (PBE) for RbBe3Ga after structural relaxation.

Results
ΔH_f (0 K) = 0.9243 eV per atom
Total magnetic moment = 0.000 μB per atom
Energy above the most stable polymorph in this dataset = 0.000 eV/atom
Calculated volume = 96.3 Å³ per cell
Density = 3.1 g/cm3

Cell: 4.583 4.583 4.583 Å, 90.00 90.00 90.00°
Space group Pm-3m (No. 221)
Asymmetric unit:
Rb (0.000, 0.000, 0.000) (multiplicity 1)
Be (0.000, 0.500, 0.500) (multiplicity 3)
Ga (0.500, 0.500, 0.500) (multiplicity 1)

=====

Density functional theory data (PBE) for RbBeGa2 after structural relaxation.

Results
ΔH_f (0 K) = 0.2515 eV per atom
Total magnetic moment = 0.000 μB per atom
Calculated volume = 460.1 Å³ per cell
Density = 3.4 g/cm3

Cell: 5.789 5.789 13.731 Å, 90.00 90.00 90.00°
Space group I4_1/amd (No. 141, origin choice 2)
Asymmetric unit:
Rb (0.000, 0.250, 0.375) (multiplicity 4)
Be (0.000, 0.250, 0.875) (multiplicity 4)
Ga (0.000, 0.000, 0.000) (multiplicity 8)

=====

Density functional theory data (PBE) for RbBe3Ga after structural relaxation.

Results
ΔH_f (0 K) = 2.3233 eV per atom
Total magnetic moment = 0.000 μB per atom
Energy above the most stable polymorph in this dataset = 1.399 eV/atom
Calculated volume = 190.8 Å³ per cell
Density = 1.6 g/cm3

Cell: 5.757 5.757 5.757 Å, 90.00 90.00 90.00°
Space group Pm-3m (No. 221)
Asymmetric unit:
Rb (0.000, 0.000, 0.000) (multiplicity 1)
Be (0.000, 0.000, 0.500) (multiplicity 3)
Ga (0.500, 0.500, 0.500) (multiplicity 1)